No. 1
Below is a relaxed OsPdO2 crystal, with properties calculated at the PBE level.

Unit cell a=2.828 b=2.828 c=20.224 alpha=90.00 beta=90.00 gamma=120.00
Positions (direct):
1 Os 0.000 0.000 0.000
2 Os 0.333 0.667 0.667
3 Os 0.667 0.333 0.333
4 Pd 0.000 0.000 0.500
5 Pd 0.333 0.667 0.167
6 Pd 0.667 0.333 0.833
7 O 0.000 0.000 0.398
8 O 0.000 0.000 0.602
9 O 0.333 0.667 0.064
10 O 0.333 0.667 0.269
11 O 0.667 0.333 0.731
12 O 0.667 0.333 0.936

Computed properties:
theoretical density: 11.69 g cm⁻³
polymorph energy (0 for the lowest one): 0.0 meV per atom
magnetization: 0.000 μB per atom

No. 2
Below is a relaxed OsPdO2 crystal, with properties calculated at the PBE level.

Unit cell a=4.017 b=4.017 c=12.456 alpha=90.00 beta=90.00 gamma=90.00
Positions (direct):
1 Os 0.000 0.000 0.000
2 Os 0.000 0.500 0.250
3 Os 0.500 0.000 0.750
4 Os 0.500 0.500 0.500
5 Pd 0.000 0.000 0.500
6 Pd 0.000 0.500 0.750
7 Pd 0.500 0.000 0.250
8 Pd 0.500 0.500 0.000
9 O 0.187 0.250 0.125
10 O 0.250 0.687 0.375
11 O 0.250 0.813 0.875
12 O 0.313 0.250 0.625
13 O 0.687 0.750 0.625
14 O 0.750 0.187 0.875
15 O 0.750 0.313 0.375
16 O 0.813 0.750 0.125

Computed properties:
theoretical density: 10.86 g cm⁻³
polymorph energy (0 for the lowest one): 342.4 meV per atom
magnetization: 0.000 μB per atom

No. 3
Below is a relaxed Os2PdO8 crystal, with properties calculated at the PBE level.

Unit cell a=6.219 b=6.219 c=5.378 alpha=93.07 beta=93.07 gamma=74.83
Positions (direct):
1 Os 0.215 0.215 0.124
2 Os 0.785 0.785 0.876
3 Pd 0.000 0.000 0.500
4 O 0.047 0.724 0.710
5 O 0.174 0.174 0.802
6 O 0.276 0.953 0.290
7 O 0.383 0.383 0.226
8 O 0.617 0.617 0.774
9 O 0.724 0.047 0.710
10 O 0.826 0.826 0.198
11 O 0.953 0.276 0.290

Computed properties:
theoretical density: 5.10 g cm⁻³
magnetization: 0.000 μB per atom
raw total energy: -74.5 eV per cell

No. 4
Below is a relaxed Rb2OsPdO4 crystal, with properties calculated at the PBE level.

Unit cell a=6.403 b=6.403 c=7.356 alpha=90.00 beta=90.00 gamma=90.00
Positions (direct):
1 Rb 0.000 0.000 0.000
2 Rb 0.000 0.500 0.250
3 Rb 0.500 0.000 0.750
4 Rb 0.500 0.500 0.500
5 Os 0.000 0.500 0.750
6 Os 0.500 0.000 0.250
7 Pd 0.000 0.000 0.500
8 Pd 0.500 0.500 0.000
9 O 0.132 0.740 0.675
10 O 0.240 0.368 0.825
11 O 0.260 0.132 0.325
12 O 0.368 0.760 0.175
13 O 0.632 0.240 0.175
14 O 0.740 0.868 0.325
15 O 0.760 0.632 0.825
16 O 0.868 0.260 0.675

Computed properties:
theoretical density: 5.85 g cm⁻³
magnetization: 0.000 μB per atom
raw total energy: -91.2 eV per cell

No. 5
Below is a relaxed RbOs2PdO8 crystal, with properties calculated at the PBE level.

Unit cell a=5.384 b=5.384 c=7.312 alpha=106.08 beta=106.08 gamma=78.47
Positions (direct):
1 Rb 0.000 0.000 0.000
2 Os 0.448 0.448 0.758
3 Os 0.552 0.552 0.242
4 Pd 0.000 0.000 0.500
5 O 0.233 0.680 0.273
6 O 0.252 0.252 0.544
7 O 0.320 0.767 0.727
8 O 0.344 0.344 0.940
9 O 0.656 0.656 0.060
10 O 0.680 0.233 0.273
11 O 0.748 0.748 0.456
12 O 0.767 0.320 0.727

Computed properties:
theoretical density: 6.00 g cm⁻³
magnetization: 0.000 μB per atom
raw total energy: -79.9 eV per cell

No. 6
Below is a relaxed Rb2OsPdO crystal, with properties calculated at the PBE level.

Unit cell a=6.732 b=6.732 c=3.670 alpha=90.00 beta=90.00 gamma=90.00
Positions (direct):
1 Rb 0.000 0.500 0.000
2 Rb 0.500 0.000 0.000
3 Os 0.000 0.000 0.000
4 Pd 0.500 0.500 0.500
5 O 0.000 0.000 0.500

Computed properties:
theoretical density: 4.83 g cm⁻³
magnetization: 0.111 μB per atom
raw total energy: -21.7 eV per cell

No. 7
Below is a relaxed Rb2OsPdO6 crystal, with properties calculated at the PBE level.

Unit cell a=6.204 b=6.204 c=5.343 alpha=90.00 beta=90.00 gamma=120.00
Positions (direct):
1 Rb 0.333 0.667 0.277
2 Rb 0.667 0.333 0.723
3 Os 0.000 0.000 0.000
4 Pd 0.000 0.000 0.500
5 O 0.140 0.279 0.768
6 O 0.140 0.860 0.768
7 O 0.279 0.140 0.232
8 O 0.721 0.860 0.768
9 O 0.860 0.140 0.232
10 O 0.860 0.721 0.232

Computed properties:
theoretical density: 5.25 g cm⁻³
magnetization: 0.202 μB per atom
raw total energy: -58.1 eV per cell

No. 8
Below is a relaxed ReOs2PdO crystal, with properties calculated at the PBE level.

Unit cell a=4.872 b=4.872 c=3.490 alpha=90.00 beta=90.00 gamma=90.00
Positions (direct):
1 Re 0.000 0.000 0.000
2 Os 0.000 0.500 0.500
3 Os 0.500 0.000 0.500
4 Pd 0.500 0.500 0.500
5 O 0.500 0.500 0.000

Computed properties:
theoretical density: 13.81 g cm⁻³
magnetization: 0.187 μB per atom
raw total energy: -34.5 eV per cell

No. 9
Below is a relaxed Sr2OsPdO8 crystal, with properties calculated at the PBE level.

Unit cell a=4.734 b=5.255 c=7.208 alpha=94.09 beta=90.03 gamma=95.42
Positions (direct):
1 Sr 0.149 0.489 0.262
2 Sr 0.851 0.511 0.738
3 Os 0.500 0.000 0.500
4 Pd 0.500 0.000 0.000
5 O 0.192 0.784 0.558
6 O 0.273 0.691 0.954
7 O 0.321 0.042 0.258
8 O 0.334 0.277 0.608
9 O 0.666 0.723 0.392
10 O 0.679 0.958 0.742
11 O 0.727 0.309 0.046
12 O 0.808 0.216 0.442

Computed properties:
theoretical density: 5.59 g cm⁻³
magnetization: 0.166 μB per atom
raw total energy: -76.1 eV per cell

No. 10
Below is a relaxed SrOs2PdO8 crystal, with properties calculated at the PBE level.

Unit cell a=5.006 b=5.006 c=6.430 alpha=93.90 beta=93.90 gamma=87.91
Positions (direct):
1 Sr 0.000 0.000 0.000
2 Os 0.483 0.483 0.742
3 Os 0.517 0.517 0.258
4 Pd 0.000 0.000 0.500
5 O 0.203 0.708 0.266
6 O 0.292 0.797 0.734
7 O 0.304 0.304 0.508
8 O 0.335 0.335 0.965
9 O 0.665 0.665 0.035
10 O 0.696 0.696 0.492
11 O 0.708 0.203 0.266
12 O 0.797 0.292 0.734

Computed properties:
theoretical density: 7.28 g cm⁻³
magnetization: 0.000 μB per atom
raw total energy: -82.7 eV per cell

No. 11
Below is a relaxed SrOsPdO6 crystal, with properties calculated at the PBE level.

Unit cell a=5.313 b=5.313 c=5.332 alpha=90.04 beta=90.04 gamma=119.96
Positions (direct):
1 Sr 0.000 0.000 0.000
2 Os 0.667 0.333 0.500
3 Pd 0.333 0.667 0.500
4 O 0.382 0.015 0.702
5 O 0.382 0.368 0.298
6 O 0.631 0.015 0.298
7 O 0.632 0.618 0.702
8 O 0.985 0.369 0.702
9 O 0.985 0.618 0.298

Computed properties:
theoretical density: 6.12 g cm⁻³
magnetization: 0.227 μB per atom
raw total energy: -59.1 eV per cell

No. 12
Below is a relaxed TiOs2PdO crystal, with properties calculated at the PBE level.

Unit cell a=4.758 b=4.758 c=3.602 alpha=90.00 beta=90.00 gamma=90.00
Positions (direct):
1 Ti 0.000 0.000 0.000
2 Os 0.000 0.500 0.000
3 Os 0.500 0.000 0.000
4 Pd 0.500 0.500 0.500
5 O 0.000 0.000 0.500

Computed properties:
theoretical density: 11.21 g cm⁻³
magnetization: 0.274 μB per atom
raw total energy: -36.1 eV per cell

No. 13
Below is a relaxed PmOs2O8 crystal, with properties calculated at the PBE level.

Unit cell a=6.321 b=6.321 c=6.043 alpha=90.00 beta=90.00 gamma=120.00
Positions (direct):
1 Pm 0.000 0.000 0.000
2 Os 0.333 0.667 0.691
3 Os 0.667 0.333 0.309
4 O 0.180 0.360 0.795
5 O 0.180 0.820 0.795
6 O 0.333 0.667 0.402
7 O 0.360 0.180 0.205
8 O 0.640 0.820 0.795
9 O 0.667 0.333 0.598
10 O 0.820 0.180 0.205
11 O 0.820 0.640 0.205

Computed properties:
theoretical density: 5.19 g cm⁻³
magnetization: 0.260 μB per atom
raw total energy: -82.6 eV per cell

No. 14
Below is a relaxed Pm4Os6O19 crystal, with properties calculated at the PBE level.

Unit cell a=7.868 b=7.868 c=7.868 alpha=109.47 beta=109.47 gamma=109.47
Positions (direct):
1 Pm 0.000 0.000 0.304
2 Pm 0.000 0.304 0.000
3 Pm 0.304 0.000 0.000
4 Pm 0.696 0.696 0.696
5 Os 0.138 0.500 0.638
6 Os 0.362 0.862 0.500
7 Os 0.500 0.362 0.862
8 Os 0.500 0.638 0.138
9 Os 0.638 0.138 0.500
10 Os 0.862 0.500 0.362
11 O 0.000 0.000 0.000
12 O 0.000 0.320 0.320
13 O 0.000 0.680 0.680
14 O 0.058 0.718 0.342
15 O 0.282 0.340 0.624
16 O 0.284 0.660 0.942
17 O 0.320 0.000 0.320
18 O 0.320 0.320 0.000
19 O 0.340 0.624 0.282
20 O 0.342 0.058 0.718
21 O 0.376 0.716 0.658
22 O 0.624 0.282 0.340
23 O 0.658 0.376 0.716
24 O 0.660 0.942 0.284
25 O 0.680 0.000 0.680
26 O 0.680 0.680 0.000
27 O 0.716 0.658 0.376
28 O 0.718 0.342 0.058
29 O 0.942 0.284 0.660

Computed properties:
theoretical density: 8.97 g cm⁻³
magnetization: 0.000 μB per atom
raw total energy: -232.9 eV per cell

No. 15
Below is a relaxed Pm3OsO crystal, with properties calculated at the PBE level.

Unit cell a=8.638 b=6.249 c=8.989 alpha=90.00 beta=113.54 gamma=90.00
Positions (direct):
1 Pm 0.077 0.085 0.352
2 Pm 0.077 0.415 0.852
3 Pm 0.206 0.593 0.556
4 Pm 0.206 0.907 0.056
5 Pm 0.374 0.106 0.772
6 Pm 0.374 0.394 0.272
7 Pm 0.626 0.606 0.728
8 Pm 0.626 0.894 0.228
9 Pm 0.794 0.093 0.944
10 Pm 0.794 0.407 0.444
11 Pm 0.923 0.585 0.148
12 Pm 0.923 0.915 0.648
13 Os 0.409 0.640 0.914
14 Os 0.409 0.860 0.414
15 Os 0.591 0.140 0.586
16 Os 0.591 0.360 0.086
17 O 0.072 0.234 0.601
18 O 0.072 0.266 0.101
19 O 0.928 0.734 0.899
20 O 0.928 0.766 0.399

Computed properties:
theoretical density: 9.57 g cm⁻³
magnetization: 0.000 μB per atom
raw total energy: -143.5 eV per cell

No. 16
Below is a relaxed Pm4OsO2 crystal, with properties calculated at the PBE level.

Unit cell a=6.412 b=6.412 c=12.597 alpha=90.00 beta=90.00 gamma=145.88
Positions (direct):
1 Pm 0.000 0.000 0.000
2 Pm 0.000 0.000 0.500
3 Pm 0.275 0.725 0.611
4 Pm 0.275 0.725 0.889
5 Pm 0.439 0.561 0.250
6 Pm 0.561 0.439 0.750
7 Pm 0.725 0.275 0.111
8 Pm 0.725 0.275 0.389
9 Os 0.114 0.886 0.250
10 Os 0.886 0.114 0.750
11 O 0.381 0.619 0.055
12 O 0.381 0.619 0.445
13 O 0.619 0.381 0.555
14 O 0.619 0.381 0.945

Computed properties:
theoretical density: 9.17 g cm⁻³
magnetization: 0.000 μB per atom
raw total energy: -102.4 eV per cell

No. 17
Below is a relaxed Pm3OsO7 crystal, with properties calculated at the PBE level.

Unit cell a=6.604 b=6.604 c=7.573 alpha=90.00 beta=90.00 gamma=69.22
Positions (direct):
1 Pm 0.000 0.000 0.000
2 Pm 0.000 0.000 0.500
3 Pm 0.075 0.477 0.750
4 Pm 0.477 0.075 0.250
5 Pm 0.523 0.925 0.750
6 Pm 0.925 0.523 0.250
7 Os 0.500 0.500 0.000
8 Os 0.500 0.500 0.500
9 O 0.108 0.156 0.250
10 O 0.156 0.108 0.750
11 O 0.186 0.561 0.038
12 O 0.186 0.561 0.462
13 O 0.416 0.584 0.750
14 O 0.439 0.814 0.038
15 O 0.439 0.814 0.462
16 O 0.561 0.186 0.538
17 O 0.561 0.186 0.962
18 O 0.584 0.416 0.250
19 O 0.814 0.439 0.538
20 O 0.814 0.439 0.962
21 O 0.844 0.892 0.250
22 O 0.892 0.844 0.750

Computed properties:
theoretical density: 7.93 g cm⁻³
magnetization: 0.270 μB per atom
raw total energy: -179.3 eV per cell

No. 18
Below is a relaxed PmOsO4 crystal, with properties calculated at the PBE level.

Unit cell a=7.765 b=5.468 c=7.547 alpha=90.00 beta=100.91 gamma=90.00
Positions (direct):
1 Pm 0.150 0.215 0.398
2 Pm 0.150 0.285 0.898
3 Pm 0.850 0.715 0.102
4 Pm 0.850 0.785 0.602
5 Os 0.340 0.730 0.205
6 Os 0.340 0.770 0.705
7 Os 0.660 0.230 0.295
8 Os 0.660 0.270 0.795
9 O 0.118 0.523 0.176
10 O 0.118 0.977 0.676
11 O 0.182 0.004 0.126
12 O 0.182 0.496 0.626
13 O 0.332 0.642 0.950
14 O 0.332 0.858 0.450
15 O 0.457 0.069 0.795
16 O 0.457 0.431 0.295
17 O 0.543 0.569 0.705
18 O 0.543 0.931 0.205
19 O 0.668 0.142 0.550
20 O 0.668 0.358 0.050
21 O 0.818 0.504 0.374
22 O 0.818 0.996 0.874
23 O 0.882 0.023 0.324
24 O 0.882 0.477 0.824

Computed properties:
theoretical density: 8.43 g cm⁻³
polymorph energy (0 for the lowest one): 0.0 meV per atom
magnetization: 0.000 μB per atom

No. 19
Below is a relaxed Pm4OsO10 crystal, with properties calculated at the PBE level.

Unit cell a=6.651 b=6.651 c=6.651 alpha=99.88 beta=99.88 gamma=131.05
Positions (direct):
1 Pm 0.099 0.696 0.794
2 Pm 0.304 0.099 0.403
3 Pm 0.696 0.901 0.597
4 Pm 0.901 0.304 0.206
5 Os 0.500 0.500 0.000
6 O 0.105 0.374 0.918
7 O 0.187 0.105 0.731
8 O 0.250 0.750 0.500
9 O 0.374 0.456 0.269
10 O 0.456 0.187 0.082
11 O 0.544 0.813 0.918
12 O 0.626 0.544 0.731
13 O 0.750 0.250 0.500
14 O 0.813 0.895 0.269
15 O 0.895 0.626 0.082

Computed properties:
theoretical density: 7.65 g cm⁻³
magnetization: 0.246 μB per atom
raw total energy: -115.0 eV per cell

No. 20
Below is a relaxed Pm6OsO12 crystal, with properties calculated at the PBE level.

Unit cell a=6.672 b=6.672 c=6.672 alpha=98.54 beta=98.54 gamma=98.54
Positions (direct):
1 Pm 0.111 0.644 0.810
2 Pm 0.190 0.889 0.356
3 Pm 0.356 0.190 0.889
4 Pm 0.644 0.810 0.111
5 Pm 0.810 0.111 0.644
6 Pm 0.889 0.356 0.190
7 Os 0.500 0.500 0.500
8 O 0.061 0.323 0.908
9 O 0.092 0.939 0.677
10 O 0.210 0.533 0.431
11 O 0.323 0.908 0.061
12 O 0.431 0.210 0.533
13 O 0.467 0.569 0.790
14 O 0.533 0.431 0.210
15 O 0.569 0.790 0.467
16 O 0.677 0.092 0.939
17 O 0.790 0.467 0.569
18 O 0.908 0.061 0.323
19 O 0.939 0.677 0.092

Computed properties:
theoretical density: 7.27 g cm⁻³
magnetization: 0.105 μB per atom
raw total energy: -155.0 eV per cell